{"formula": "BeRe2Si", "functional": "PBE", "state": "relaxed", "magmom_total_mub_per_cell": 0.00, "raw_formation_energy_ev_per_atom": -0.30, "final_energy_ev_per_cell": -35.26, "space_group": "P4mm (99)", "lattice_angstrom": [[2.971, 0.000, 0.000], [0.000, 2.971, 0.000], [0.000, 0.000, 5.667]], "species": ["Be", "Re", "Re", "Si"], "fractional_positions": [[0.000, 0.000, 0.000], [0.000, 0.000, 0.526], [0.500, 0.500, 0.225], [0.500, 0.500, 0.783]]}